! PBE ZnInCoTc2, optimized geometry; values from VASP
&SYSTEM
  ibrav = 0, nat = 5, ntyp = 4
/
ATOMIC_SPECIES
Zn 65.41 Zn.upf
Co 58.93 Co.upf
Tc 98.00 Tc.upf
In 114.82 In.upf
CELL_PARAMETERS angstrom
4.973 0.000 0.000
0.000 4.605 0.000
0.000 0.000 4.973
ATOMIC_POSITIONS crystal
Zn 0.500 0.500 0.500
Co 0.000 0.500 0.000
Tc 0.000 0.000 0.500
Tc 0.500 0.000 0.000
In 0.000 0.000 0.000
! * total magnetic moment: 6.03 μB per cell
! * symmetry: No. 123
! * DFT total energy: -4.38 eV per atom